a.
# Rb2BiI6, relaxed, DFT PBE-GGA
data_Rb2BiI6
_symmetry_space_group_name_H-M 'P 1 21/c 1'
_symmetry_Int_Tables_number 14
_cell_length_a 8.8550
_cell_length_b 8.7286
_cell_length_c 13.8458
_cell_angle_alpha 90.00
_cell_angle_beta 123.94
_cell_angle_gamma 90.00
loop_
_symmetry_equiv_pos_as_xyz
'x,y,z'
'-x,-y,-z'
'-x,y+1/2,-z+1/2'
'x,-y+1/2,z+1/2'
loop_
_atom_site_label
_atom_site_type_symbol
_atom_site_fract_x
_atom_site_fract_y
_atom_site_fract_z
Rb1 Rb 0.2037 0.1065 0.2229
Bi1 Bi 0.5000 0.0000 0.0000
I1 I 0.1581 0.1850 0.9379
I2 I 0.3025 0.6992 0.9893
I3 I 0.3478 0.5431 0.2420
# Size of the total moment in μB per formula unit: 0.00
# Density of states at the Fermi level in states/eV per cell: 10.95


b.
# Rb2BiI6, relaxed, DFT PBE-GGA
data_Rb2BiI6
_symmetry_space_group_name_H-M 'P 42/m n m'
_symmetry_Int_Tables_number 136
_symmetry_space_group_name_Hall '-P 4n 2n'
_cell_length_a 8.1971
_cell_length_b 8.1971
_cell_length_c 15.8839
_cell_angle_alpha 90.00
_cell_angle_beta 90.00
_cell_angle_gamma 90.00
loop_
_atom_site_label
_atom_site_type_symbol
_atom_site_fract_x
_atom_site_fract_y
_atom_site_fract_z
Rb1 Rb 0.0000 0.0000 0.1691
Bi1 Bi 0.0000 0.0000 0.5000
I1 I 0.1849 0.1849 0.3595
I2 I 0.2334 0.2334 0.0000
# Size of the total moment in μB per formula unit: 0.97
# Density of states at the Fermi level in states/eV per cell: 41.06


Computed stability ranking, most favorable first: a, b


a.
# Rb3BiI6, relaxed, DFT PBE-GGA
data_Rb3BiI6
_symmetry_space_group_name_H-M 'F m -3 m'
_symmetry_Int_Tables_number 225
_symmetry_space_group_name_Hall '-F 4 2 3'
_cell_length_a 13.0999
_cell_length_b 13.0999
_cell_length_c 13.0999
_cell_angle_alpha 90.00
_cell_angle_beta 90.00
_cell_angle_gamma 90.00
loop_
_atom_site_label
_atom_site_type_symbol
_atom_site_fract_x
_atom_site_fract_y
_atom_site_fract_z
Rb1 Rb 0.0000 0.0000 0.0000
Rb2 Rb 0.2500 0.2500 0.2500
Bi1 Bi 0.0000 0.0000 0.5000
I1 I 0.0000 0.0000 0.2648
# Size of the total moment in μB per formula unit: 0.00
# Density of states at the Fermi level in states/eV per cell: 0.00


b.
# Rb3BiI6, relaxed, DFT PBE-GGA
data_Rb3BiI6
_symmetry_space_group_name_H-M 'P 1 21/c 1'
_symmetry_Int_Tables_number 14
_cell_length_a 8.7744
_cell_length_b 9.4285
_cell_length_c 14.9123
_cell_angle_alpha 90.00
_cell_angle_beta 123.58
_cell_angle_gamma 90.00
loop_
_symmetry_equiv_pos_as_xyz
'x,y,z'
'-x,-y,-z'
'-x,y+1/2,-z+1/2'
'x,-y+1/2,z+1/2'
loop_
_atom_site_label
_atom_site_type_symbol
_atom_site_fract_x
_atom_site_fract_y
_atom_site_fract_z
Rb1 Rb 0.0000 0.0000 0.0000
Rb2 Rb 0.2059 0.0828 0.7392
Bi1 Bi 0.5000 0.0000 0.5000
I1 I 0.1585 0.1766 0.4444
I2 I 0.2583 0.7262 0.4199
I3 I 0.4091 0.0601 0.2702
# Size of the total moment in μB per formula unit: 0.00
# Density of states at the Fermi level in states/eV per cell: 0.00


Computed stability ranking, most favorable first: b, a